(1)
Material: Ca3Tm2Ge3O12
Method: DFT, meta-GGA SCAN
State: single point on PBEsol structure

Unit cell a=11.003 b=11.003 c=11.003 alpha=109.47 beta=109.47 gamma=109.47
Atoms (fractional coordinates):
1 Ge 0.875 0.125 0.750
2 Ge 0.125 0.875 0.250
3 Ge 0.625 0.375 0.250
4 Ge 0.875 0.750 0.625
5 Ge 0.375 0.625 0.750
6 Ge 0.375 0.750 0.125
7 Ge 0.125 0.250 0.375
8 Ge 0.250 0.875 0.625
9 Ge 0.250 0.375 0.125
10 Ge 0.625 0.250 0.875
11 Ge 0.750 0.625 0.875
12 Ge 0.750 0.125 0.375
13 O 0.021 0.124 0.715
14 O 0.694 0.715 0.591
15 O 0.715 0.624 0.021
16 O 0.194 0.591 0.715
17 O 0.376 0.897 0.091
18 O 0.876 0.785 0.479
19 O 0.376 0.479 0.785
20 O 0.124 0.215 0.521
21 O 0.785 0.979 0.376
22 O 0.409 0.624 0.603
23 O 0.624 0.103 0.909
24 O 0.591 0.376 0.397
25 O 0.521 0.806 0.897
26 O 0.603 0.479 0.694
27 O 0.909 0.306 0.785
28 O 0.091 0.694 0.215
29 O 0.021 0.897 0.806
30 O 0.806 0.397 0.021
31 O 0.694 0.979 0.603
32 O 0.306 0.285 0.409
33 O 0.785 0.806 0.909
34 O 0.103 0.409 0.124
35 O 0.806 0.409 0.285
36 O 0.591 0.215 0.694
37 O 0.897 0.591 0.876
38 O 0.979 0.876 0.285
39 O 0.285 0.909 0.806
40 O 0.409 0.785 0.306
41 O 0.215 0.194 0.091
42 O 0.876 0.091 0.897
43 O 0.306 0.021 0.397
44 O 0.624 0.521 0.215
45 O 0.897 0.306 0.521
46 O 0.103 0.694 0.479
47 O 0.979 0.103 0.194
48 O 0.091 0.397 0.376
49 O 0.215 0.021 0.624
50 O 0.479 0.285 0.876
51 O 0.521 0.715 0.124
52 O 0.603 0.124 0.409
53 O 0.909 0.603 0.624
54 O 0.479 0.194 0.103
55 O 0.194 0.603 0.979
56 O 0.285 0.376 0.979
57 O 0.397 0.521 0.306
58 O 0.124 0.909 0.103
59 O 0.715 0.091 0.194
60 O 0.397 0.876 0.591
61 Tm 0.000 0.000 0.500
62 Tm 0.500 0.000 0.500
63 Tm 0.000 0.500 0.500
64 Tm 0.500 0.000 0.000
65 Tm 0.000 0.000 0.000
66 Tm 0.500 0.500 0.500
67 Tm 0.500 0.500 0.000
68 Tm 0.000 0.500 0.000
69 Ca 0.625 0.875 0.750
70 Ca 0.375 0.250 0.625
71 Ca 0.125 0.750 0.875
72 Ca 0.125 0.375 0.750
73 Ca 0.750 0.875 0.125
74 Ca 0.375 0.125 0.250
75 Ca 0.625 0.750 0.375
76 Ca 0.250 0.125 0.875
77 Ca 0.875 0.625 0.250
78 Ca 0.250 0.625 0.375
79 Ca 0.750 0.375 0.625
80 Ca 0.875 0.250 0.125

## Properties
Its total energy is -16.197 eV per atom. Its magnetic moment is 0.00 μB/f.u. For the calculated density, the calculation gives 5.62 g cm⁻³. As for the uncorrected formation energy: -2.9626 eV/atom.


(2)
Material: CaVGe2O6
Method: DFT, meta-GGA SCAN
State: single point on PBEsol structure

Unit cell a=5.434 b=6.776 c=6.776 alpha=81.59 beta=78.93 gamma=78.93
Atoms (fractional coordinates):
1 O 0.369 0.200 0.016
2 O 0.530 0.394 0.328
3 O 0.153 0.635 0.099
4 O 0.631 0.800 0.984
5 O 0.653 0.099 0.635
6 O 0.869 0.016 0.200
7 O 0.847 0.365 0.901
8 O 0.470 0.606 0.672
9 O 0.030 0.328 0.394
10 O 0.131 0.984 0.800
11 O 0.970 0.672 0.606
12 O 0.347 0.901 0.365
13 V 0.750 0.086 0.914
14 V 0.250 0.914 0.086
15 Ge 0.218 0.815 0.612
16 Ge 0.782 0.185 0.388
17 Ge 0.718 0.612 0.815
18 Ge 0.282 0.388 0.185
19 Ca 0.250 0.307 0.693
20 Ca 0.750 0.693 0.307

## Properties
Its total energy is -12.552 eV per atom. Its magnetic moment is 2.92 μB/f.u. For the calculated density, the calculation gives 4.62 g cm⁻³. As for the uncorrected formation energy: -2.2804 eV/atom.


(3)
Material: Ca3V2Ge3O12
Method: DFT, meta-GGA SCAN
State: single point on PBEsol structure

Unit cell a=10.652 b=10.652 c=10.652 alpha=109.47 beta=109.47 gamma=109.47
Atoms (fractional coordinates):
1 Ge 0.375 0.625 0.750
2 Ge 0.375 0.750 0.125
3 Ge 0.875 0.750 0.625
4 Ge 0.250 0.875 0.625
5 Ge 0.125 0.875 0.250
6 Ge 0.875 0.125 0.750
7 Ge 0.750 0.125 0.375
8 Ge 0.750 0.625 0.875
9 Ge 0.625 0.375 0.250
10 Ge 0.625 0.250 0.875
11 Ge 0.125 0.250 0.375
12 Ge 0.250 0.375 0.125
13 V 0.000 0.500 0.500
14 V 0.500 0.500 0.000
15 V 0.000 0.000 0.000
16 V 0.000 0.500 0.000
17 V 0.500 0.500 0.500
18 V 0.500 0.000 0.000
19 V 0.500 0.000 0.500
20 V 0.000 0.000 0.500
21 Ca 0.875 0.625 0.250
22 Ca 0.125 0.750 0.875
23 Ca 0.250 0.625 0.375
24 Ca 0.375 0.250 0.625
25 Ca 0.250 0.125 0.875
26 Ca 0.750 0.375 0.625
27 Ca 0.750 0.875 0.125
28 Ca 0.625 0.750 0.375
29 Ca 0.375 0.125 0.250
30 Ca 0.875 0.250 0.125
31 Ca 0.625 0.875 0.750
32 Ca 0.125 0.375 0.750
33 O 0.100 0.684 0.482
34 O 0.883 0.085 0.900
35 O 0.400 0.883 0.585
36 O 0.085 0.684 0.202
37 O 0.915 0.316 0.798
38 O 0.415 0.617 0.600
39 O 0.982 0.100 0.184
40 O 0.702 0.617 0.018
41 O 0.298 0.383 0.982
42 O 0.702 0.085 0.184
43 O 0.184 0.585 0.702
44 O 0.018 0.117 0.702
45 O 0.585 0.202 0.684
46 O 0.600 0.482 0.684
47 O 0.117 0.915 0.100
48 O 0.585 0.383 0.400
49 O 0.600 0.117 0.415
50 O 0.117 0.202 0.518
51 O 0.798 0.982 0.383
52 O 0.684 0.702 0.585
53 O 0.400 0.518 0.316
54 O 0.482 0.184 0.100
55 O 0.798 0.816 0.915
56 O 0.415 0.798 0.316
57 O 0.085 0.400 0.383
58 O 0.316 0.298 0.415
59 O 0.383 0.482 0.798
60 O 0.617 0.518 0.202
61 O 0.298 0.915 0.816
62 O 0.518 0.816 0.900
63 O 0.383 0.900 0.085
64 O 0.883 0.798 0.482
65 O 0.518 0.702 0.117
66 O 0.900 0.585 0.883
67 O 0.018 0.900 0.816
68 O 0.617 0.100 0.915
69 O 0.202 0.184 0.085
70 O 0.915 0.600 0.617
71 O 0.900 0.316 0.518
72 O 0.684 0.982 0.600
73 O 0.202 0.018 0.617
74 O 0.982 0.883 0.298
75 O 0.482 0.298 0.883
76 O 0.316 0.018 0.400
77 O 0.100 0.415 0.117
78 O 0.816 0.415 0.298
79 O 0.184 0.600 0.982
80 O 0.816 0.400 0.018

## Properties
Its total energy is -12.402 eV per atom. Its magnetic moment is 4.00 μB/f.u. For the calculated density, the calculation gives 4.51 g cm⁻³. As for the uncorrected formation energy: -2.6020 eV/atom.


(4)
Material: CaGe3Os
Method: DFT, meta-GGA SCAN
State: single point on PBEsol structure

Unit cell a=4.941 b=4.941 c=4.941 alpha=90.00 beta=90.00 gamma=90.00
Atoms (fractional coordinates):
1 Ca 0.000 0.000 0.000
2 Os 0.500 0.500 0.500
3 Ge 0.000 0.000 0.500
4 Ge 0.500 0.000 0.000
5 Ge 0.000 0.500 0.000

## Properties
Its total energy is -25.548 eV per atom. Its magnetic moment is 1.67 μB/f.u. For the calculated density, the calculation gives 6.17 g cm⁻³. The calculated formation energy is 11.07 eV per formula unit.


(5)
Material: CaGe3Os
Method: DFT, meta-GGA SCAN
State: single point on PBEsol structure

Unit cell a=4.809 b=4.809 c=4.809 alpha=90.00 beta=90.00 gamma=90.00
Atoms (fractional coordinates):
1 Ge 0.000 0.000 0.500
2 Ge 0.500 0.000 0.000
3 Ge 0.000 0.500 0.000
4 Ca 0.500 0.500 0.500
5 Os 0.000 0.000 0.000

## Properties
Its total energy is -27.640 eV per atom. Its magnetic moment is 0.00 μB/f.u. For the calculated density, the calculation gives 6.69 g cm⁻³. The calculated formation energy is 0.61 eV per formula unit.


(6)
Material: Ca3GeOs
Method: DFT, meta-GGA SCAN
State: single point on PBEsol structure

Unit cell a=5.414 b=5.414 c=5.414 alpha=90.00 beta=90.00 gamma=90.00
Atoms (fractional coordinates):
1 Ca 0.500 0.000 0.000
2 Ca 0.000 0.000 0.500
3 Ca 0.000 0.500 0.000
4 Ge 0.000 0.000 0.000
5 Os 0.500 0.500 0.500

## Properties
Its total energy is -23.177 eV per atom. Its magnetic moment is 2.06 μB/f.u. For the calculated density, the calculation gives 4.01 g cm⁻³. The calculated formation energy is 4.07 eV per formula unit.


(7)
Material: CaScGe2P
Method: DFT, meta-GGA SCAN
State: single point on PBEsol structure

Unit cell a=4.819 b=4.819 c=5.016 alpha=90.00 beta=90.00 gamma=90.00
Atoms (fractional coordinates):
1 Sc 0.500 0.500 0.500
2 Ge 0.000 0.500 0.000
3 Ge 0.500 0.000 0.000
4 P 0.000 0.000 0.000
5 Ca 0.000 0.000 0.500

## Properties
Its total energy is -14.276 eV per atom. Its magnetic moment is 0.88 μB/f.u. For the calculated density, the calculation gives 3.72 g cm⁻³. The calculated formation energy is 1.09 eV per formula unit.


(8)
Material: Ca2GePSe
Method: DFT, meta-GGA SCAN
State: single point on PBEsol structure

Unit cell a=4.705 b=5.550 c=5.550 alpha=90.00 beta=90.00 gamma=90.00
Atoms (fractional coordinates):
1 P 0.500 0.500 0.500
2 Se 0.500 0.000 0.000
3 Ca 0.000 0.000 0.500
4 Ca 0.000 0.500 0.000
5 Ge 0.000 0.000 0.000

## Properties
Its total energy is -13.838 eV per atom. Its magnetic moment is 1.02 μB/f.u. For the calculated density, the calculation gives 3.01 g cm⁻³. As for the uncorrected formation energy: -0.0598 eV/atom.


(9)
Material: CaGePb3
Method: DFT, meta-GGA SCAN
State: single point on PBEsol structure

Unit cell a=5.677 b=5.677 c=5.677 alpha=90.00 beta=90.00 gamma=90.00
Atoms (fractional coordinates):
1 Pb 0.000 0.000 0.500
2 Pb 0.000 0.500 0.000
3 Pb 0.500 0.000 0.000
4 Ge 0.500 0.500 0.500
5 Ca 0.000 0.000 0.000

## Properties
Its total energy is -50.386 eV per atom. Its magnetic moment is 0.00 μB/f.u. For the calculated density, the calculation gives 6.66 g cm⁻³. The calculated formation energy is 4.17 eV per formula unit.


(10)
Material: CaGe2Pt
Method: DFT, meta-GGA SCAN
State: single point on PBEsol structure

Unit cell a=4.383 b=8.825 c=9.391 alpha=118.03 beta=103.50 gamma=90.00
Atoms (fractional coordinates):
1 Ca 0.000 0.254 0.000
2 Ca 0.000 0.746 0.000
3 Ca 0.203 0.703 0.406
4 Ca 0.797 0.297 0.594
5 Ge 0.197 0.346 0.394
6 Ge 0.422 0.922 0.844
7 Ge 0.803 0.654 0.606
8 Ge 0.197 0.049 0.394
9 Ge 0.575 0.575 0.151
10 Ge 0.578 0.078 0.156
11 Ge 0.425 0.425 0.849
12 Ge 0.803 0.951 0.606
13 Pt 0.648 0.897 0.297
14 Pt 0.648 0.400 0.297
15 Pt 0.352 0.600 0.703
16 Pt 0.352 0.103 0.703

## Properties
Its total energy is -30.408 eV per atom. Its magnetic moment is 0.00 μB/f.u. For the calculated density, the calculation gives 8.17 g cm⁻³. The calculated formation energy is -3.60 eV per formula unit.


(11)
Material: Ca2Ge2Pt
Method: DFT, meta-GGA SCAN
State: single point on PBEsol structure

Unit cell a=4.613 b=6.639 c=6.639 alpha=90.00 beta=90.00 gamma=90.00
Atoms (fractional coordinates):
1 Ge 0.000 0.137 0.363
2 Ge 0.000 0.637 0.137
3 Ge 0.000 0.363 0.863
4 Ge 0.000 0.863 0.637
5 Pt 0.000 0.000 0.000
6 Pt 0.000 0.500 0.500
7 Ca 0.500 0.671 0.829
8 Ca 0.500 0.329 0.171
9 Ca 0.500 0.171 0.671
10 Ca 0.500 0.829 0.329

## Properties
Its total energy is -26.415 eV per atom. Its magnetic moment is 0.00 μB/f.u. For the calculated density, the calculation gives 6.87 g cm⁻³. The calculated formation energy is -4.38 eV per formula unit.


(12)
Material: CaGePt
Method: DFT, meta-GGA SCAN
State: single point on PBEsol structure

Unit cell a=4.403 b=7.097 c=7.370 alpha=90.00 beta=90.00 gamma=90.00
Atoms (fractional coordinates):
1 Pt 0.250 0.197 0.094
2 Pt 0.750 0.803 0.906
3 Pt 0.750 0.303 0.594
4 Pt 0.250 0.697 0.406
5 Ca 0.250 0.993 0.695
6 Ca 0.750 0.507 0.195
7 Ca 0.250 0.493 0.805
8 Ca 0.750 0.007 0.305
9 Ge 0.750 0.679 0.582
10 Ge 0.250 0.321 0.418
11 Ge 0.750 0.179 0.918
12 Ge 0.250 0.821 0.082

## Properties
Its total energy is -34.081 eV per atom. Its magnetic moment is 0.00 μB/f.u. For the calculated density, the calculation gives 8.88 g cm⁻³. The calculated formation energy is -3.30 eV per formula unit.


(13)
Material: RbCaGe2
Method: DFT, meta-GGA SCAN
State: single point on PBEsol structure

Unit cell a=5.342 b=5.342 c=5.342 alpha=60.00 beta=60.00 gamma=60.00
Atoms (fractional coordinates):
1 Ge 0.250 0.250 0.250
2 Ge 0.750 0.750 0.750
3 Ca 0.000 0.000 0.000
4 Rb 0.500 0.500 0.500

## Properties
Its total energy is -17.043 eV per atom. Its magnetic moment is 0.00 μB/f.u. For the calculated density, the calculation gives 4.17 g cm⁻³. The calculated formation energy is 0.41 eV per formula unit.


(14)
Material: CaReGe3
Method: DFT, meta-GGA SCAN
State: single point on PBEsol structure

Unit cell a=4.825 b=4.825 c=4.825 alpha=90.00 beta=90.00 gamma=90.00
Atoms (fractional coordinates):
1 Ge 0.500 0.000 0.000
2 Ge 0.000 0.000 0.500
3 Ge 0.000 0.500 0.000
4 Re 0.000 0.000 0.000
5 Ca 0.500 0.500 0.500

## Properties
Its total energy is -27.518 eV per atom. Its magnetic moment is 0.00 μB/f.u. For the calculated density, the calculation gives 6.57 g cm⁻³. The calculated formation energy is 0.43 eV per formula unit.


(15)
Material: Ca3Ge13Rh4
Method: DFT, meta-GGA SCAN
State: single point on PBEsol structure

Unit cell a=8.943 b=8.943 c=8.943 alpha=90.00 beta=90.00 gamma=90.00
Atoms (fractional coordinates):
1 Ca 0.750 0.000 0.500
2 Ca 0.500 0.250 0.000
3 Ca 0.250 0.000 0.500
4 Ca 0.000 0.500 0.250
5 Ca 0.500 0.750 0.000
6 Ca 0.000 0.500 0.750
7 Ge 0.500 0.199 0.646
8 Ge 0.854 0.699 0.000
9 Ge 0.354 0.500 0.801
10 Ge 0.146 0.301 0.000
11 Ge 0.146 0.699 0.000
12 Ge 0.000 0.146 0.301
13 Ge 0.199 0.354 0.500
14 Ge 0.646 0.500 0.199
15 Ge 0.500 0.199 0.354
16 Ge 0.301 0.000 0.854
17 Ge 0.199 0.646 0.500
18 Ge 0.801 0.646 0.500
19 Ge 0.699 0.000 0.854
20 Ge 0.854 0.301 0.000
21 Ge 0.000 0.854 0.699
22 Ge 0.301 0.000 0.146
23 Ge 0.500 0.801 0.354
24 Ge 0.500 0.500 0.500
25 Ge 0.000 0.146 0.699
26 Ge 0.354 0.500 0.199
27 Ge 0.699 0.000 0.146
28 Ge 0.000 0.854 0.301
29 Ge 0.801 0.354 0.500
30 Ge 0.646 0.500 0.801
31 Ge 0.500 0.801 0.646
32 Ge 0.000 0.000 0.000
33 Rh 0.250 0.750 0.250
34 Rh 0.250 0.750 0.750
35 Rh 0.750 0.750 0.250
36 Rh 0.250 0.250 0.750
37 Rh 0.750 0.250 0.750
38 Rh 0.250 0.250 0.250
39 Rh 0.750 0.750 0.750
40 Rh 0.750 0.250 0.250

## Properties
Its total energy is -21.138 eV per atom. Its magnetic moment is 0.00 μB/f.u. For the calculated density, the calculation gives 6.85 g cm⁻³. The calculated formation energy is -10.55 eV per formula unit.


(16)
Material: Ca2Ge2Rh
Method: DFT, meta-GGA SCAN
State: single point on PBEsol structure

Unit cell a=4.531 b=6.644 c=6.644 alpha=90.00 beta=90.00 gamma=90.00
Atoms (fractional coordinates):
1 Ca 0.500 0.675 0.825
2 Ca 0.500 0.175 0.675
3 Ca 0.500 0.825 0.325
4 Ca 0.500 0.325 0.175
5 Ge 0.000 0.136 0.364
6 Ge 0.000 0.364 0.864
7 Ge 0.000 0.864 0.636
8 Ge 0.000 0.636 0.136
9 Rh 0.000 0.000 0.000
10 Rh 0.000 0.500 0.500

## Properties
Its total energy is -18.973 eV per atom. Its magnetic moment is 0.00 μB/f.u. For the calculated density, the calculation gives 5.45 g cm⁻³. The calculated formation energy is -3.59 eV per formula unit.